A:
A relaxed Cs2InH crystal. Source: the Alexandria database, functional PBE-GGA.

Results
V   182.4 Å³/f.u.
Fermi-level density of states   1.24 states/eV/atom
Space-group type   Fm-3m

Structure (CIF):
```
data_Cs2InH
_chemical_formula_sum 'Cs2 In1 H1'
_symmetry_space_group_name_H-M 'P 1'
_symmetry_Int_Tables_number 1
_symmetry_space_group_name_Hall 'P 1'
_cell_length_a 6.366
_cell_length_b 6.366
_cell_length_c 6.366
_cell_angle_alpha 60.00
_cell_angle_beta 60.00
_cell_angle_gamma 60.00
loop_
_atom_site_label
_atom_site_fract_x
_atom_site_fract_y
_atom_site_fract_z
H1 0.000 0.000 0.000
In1 0.500 0.500 0.500
Cs1 0.250 0.250 0.250
Cs2 0.750 0.750 0.750
```

=====

B:
A relaxed Cs2InH crystal. Source: the Alexandria database, functional PBE-GGA.

Results
V   168.2 Å³/f.u.
Fermi-level density of states   0.53 states/eV/atom
Space-group type   R-3m

Structure (CIF):
```
data_Cs2InH
_chemical_formula_sum 'Cs2 In1 H1'
_symmetry_space_group_name_H-M 'P 1'
_symmetry_Int_Tables_number 1
_symmetry_space_group_name_Hall 'P 1'
_cell_length_a 4.141
_cell_length_b 4.141
_cell_length_c 11.575
_cell_angle_alpha 79.70
_cell_angle_beta 79.70
_cell_angle_gamma 60.00
loop_
_atom_site_label
_atom_site_fract_x
_atom_site_fract_y
_atom_site_fract_z
Cs1 0.111 0.111 0.666
H1 0.500 0.500 0.500
In1 0.000 0.000 0.000
Cs2 0.889 0.889 0.334
```

=====

Relative energies, meV per atom: A 195; B 0.

=====

A:
A relaxed CsTlInH crystal. Source: the Alexandria database, functional PBE-GGA.

Results
V   135.6 Å³/f.u.
Fermi-level density of states   0.46 states/eV/atom
Space-group type   P3m1

Structure (CIF):
```
data_CsTlInH
_chemical_formula_sum 'Cs1 Tl1 In1 H1'
_symmetry_space_group_name_H-M 'P 1'
_symmetry_Int_Tables_number 1
_symmetry_space_group_name_Hall 'P 1'
_cell_length_a 5.235
_cell_length_b 5.235
_cell_length_c 5.714
_cell_angle_alpha 90.00
_cell_angle_beta 90.00
_cell_angle_gamma 120.00
loop_
_atom_site_label
_atom_site_fract_x
_atom_site_fract_y
_atom_site_fract_z
Cs1 0.667 0.333 0.133
H1 0.333 0.667 0.299
Tl1 0.000 0.000 0.639
In1 0.333 0.667 0.628
```

=====

B:
A relaxed CsTlInH crystal. Source: the Alexandria database, functional PBE-GGA.

Results
V   132.7 Å³/f.u.
Fermi-level density of states   0.53 states/eV/atom
Space-group type   P1

Structure (CIF):
```
data_CsTlInH
_chemical_formula_sum 'Cs1 Tl1 In1 H1'
_symmetry_space_group_name_H-M 'P 1'
_symmetry_Int_Tables_number 1
_symmetry_space_group_name_Hall 'P 1'
_cell_length_a 3.827
_cell_length_b 5.069
_cell_length_c 7.291
_cell_angle_alpha 69.77
_cell_angle_beta 89.98
_cell_angle_gamma 90.00
loop_
_atom_site_label
_atom_site_fract_x
_atom_site_fract_y
_atom_site_fract_z
In1 0.493 0.828 0.195
Tl1 0.990 0.391 0.069
Cs1 0.996 0.119 0.612
H1 0.495 0.962 0.919
```

=====

C:
A relaxed CsTlInH crystal. Source: the Alexandria database, functional PBE-GGA.

Results
V   118.9 Å³/f.u.
Fermi-level density of states   0.15 states/eV/atom
Space-group type   Cm

Structure (CIF):
```
data_CsTlInH
_chemical_formula_sum 'Cs1 Tl1 In1 H1'
_symmetry_space_group_name_H-M 'P 1'
_symmetry_Int_Tables_number 1
_symmetry_space_group_name_Hall 'P 1'
_cell_length_a 4.017
_cell_length_b 3.881
_cell_length_c 8.121
_cell_angle_alpha 76.16
_cell_angle_beta 75.74
_cell_angle_gamma 89.99
loop_
_atom_site_label
_atom_site_fract_x
_atom_site_fract_y
_atom_site_fract_z
Cs1 0.229 0.137 0.515
H1 0.658 0.565 0.658
Tl1 0.929 0.833 0.122
In1 0.534 0.439 0.910
```

=====

D:
A relaxed CsTlInH crystal. Source: the Alexandria database, functional PBE-GGA.

Results
V   157.5 Å³/f.u.
Fermi-level density of states   0.32 states/eV/atom
Space-group type   Cm

Structure (CIF):
```
data_CsTlInH
_chemical_formula_sum 'Cs2 Tl2 In2 H2'
_symmetry_space_group_name_H-M 'P 1'
_symmetry_Int_Tables_number 1
_symmetry_space_group_name_Hall 'P 1'
_cell_length_a 6.673
_cell_length_b 5.402
_cell_length_c 8.945
_cell_angle_alpha 90.00
_cell_angle_beta 102.38
_cell_angle_gamma 90.00
loop_
_atom_site_label
_atom_site_fract_x
_atom_site_fract_y
_atom_site_fract_z
In1 0.536 0.500 0.069
Cs1 0.119 0.000 0.803
H1 0.621 0.000 0.794
Tl1 0.699 0.500 0.539
Cs2 0.119 0.500 0.303
In2 0.536 0.000 0.569
H2 0.621 0.500 0.294
Tl2 0.699 0.000 0.039
```

=====

Relative energies, meV per atom: A 67; B 127; C 0; D 150.

=====

A:
A relaxed CsH3Ir crystal. Source: the Alexandria database, functional PBE-GGA.

Results
V   90.6 Å³/f.u.
Fermi-level density of states   0.58 states/eV/atom
Space-group type   Pm-3m

Structure (CIF):
```
data_CsH3Ir
_chemical_formula_sum 'Cs1 H3 Ir1'
_symmetry_space_group_name_H-M 'P 1'
_symmetry_Int_Tables_number 1
_symmetry_space_group_name_Hall 'P 1'
_cell_length_a 4.492
_cell_length_b 4.492
_cell_length_c 4.492
_cell_angle_alpha 90.00
_cell_angle_beta 90.00
_cell_angle_gamma 90.00
loop_
_atom_site_label
_atom_site_fract_x
_atom_site_fract_y
_atom_site_fract_z
H1 0.000 0.500 0.000
Cs1 0.000 0.000 0.000
Ir1 0.500 0.500 0.500
H2 0.500 0.000 0.000
H3 0.000 0.000 0.500
```

=====

B:
A relaxed CsH3Ir crystal. Source: the Alexandria database, functional PBE-GGA.

Results
V   62.6 Å³/f.u.
Fermi-level density of states   0.21 states/eV/atom
Space-group type   Pm-3m

Structure (CIF):
```
data_CsH3Ir
_chemical_formula_sum 'Cs1 H3 Ir1'
_symmetry_space_group_name_H-M 'P 1'
_symmetry_Int_Tables_number 1
_symmetry_space_group_name_Hall 'P 1'
_cell_length_a 3.970
_cell_length_b 3.970
_cell_length_c 3.970
_cell_angle_alpha 90.00
_cell_angle_beta 90.00
_cell_angle_gamma 90.00
loop_
_atom_site_label
_atom_site_fract_x
_atom_site_fract_y
_atom_site_fract_z
H1 0.000 0.000 0.500
Cs1 0.500 0.500 0.500
Ir1 0.000 0.000 0.000
H2 0.500 0.000 0.000
H3 0.000 0.500 0.000
```

=====

C:
A relaxed CsH3Ir crystal. Source: the Alexandria database, functional PBE-GGA.

Results
V   73.7 Å³/f.u.
Fermi-level density of states   0.21 states/eV/atom
Space-group type   Cmce

Structure (CIF):
```
data_CsH3Ir
_chemical_formula_sum 'Cs4 H12 Ir4'
_symmetry_space_group_name_H-M 'P 1'
_symmetry_Int_Tables_number 1
_symmetry_space_group_name_Hall 'P 1'
_cell_length_a 5.411
_cell_length_b 7.586
_cell_length_c 7.586
_cell_angle_alpha 71.30
_cell_angle_beta 90.03
_cell_angle_gamma 90.03
loop_
_atom_site_label
_atom_site_fract_x
_atom_site_fract_y
_atom_site_fract_z
H1 0.851 0.724 0.630
H2 0.669 0.023 0.478
H3 0.850 0.869 0.777
H4 0.169 0.478 0.023
Ir1 0.074 0.671 0.829
H5 0.351 0.630 0.724
Cs1 0.250 0.636 0.364
H6 0.831 0.522 0.977
Ir2 0.574 0.829 0.671
Cs2 0.750 0.864 0.136
H7 0.649 0.370 0.276
H8 0.331 0.977 0.522
H9 0.350 0.777 0.869
H10 0.149 0.276 0.370
Cs3 0.250 0.136 0.864
Ir3 0.426 0.171 0.329
H11 0.150 0.131 0.223
Ir4 0.926 0.329 0.171
H12 0.650 0.223 0.131
Cs4 0.750 0.364 0.636
```

=====

Relative energies, meV per atom: A 2023; B 142; C 0.

=====

A:
A relaxed Cs3H6Ir crystal. Source: the Alexandria database, functional PBE-GGA.

Results
V   186.5 Å³/f.u.
Fermi-level density of states   0.00 states/eV/atom
Space-group type   Fmmm

Structure (CIF):
```
data_Cs3H6Ir
_chemical_formula_sum 'Cs3 H6 Ir1'
_symmetry_space_group_name_H-M 'P 1'
_symmetry_Int_Tables_number 1
_symmetry_space_group_name_Hall 'P 1'
_cell_length_a 6.688
_cell_length_b 6.688
_cell_length_c 6.005
_cell_angle_alpha 116.59
_cell_angle_beta 116.59
_cell_angle_gamma 101.33
loop_
_atom_site_label
_atom_site_fract_x
_atom_site_fract_y
_atom_site_fract_z
H1 0.281 0.281 0.280
Ir1 0.000 0.000 0.000
Cs1 0.750 0.250 0.500
H2 0.001 0.001 0.720
H3 0.835 0.165 0.000
H4 0.999 0.999 0.280
H5 0.719 0.719 0.720
Cs2 0.500 0.500 0.000
Cs3 0.250 0.750 0.500
H6 0.165 0.835 0.000
```

=====

B:
A relaxed Cs3H6Ir crystal. Source: the Alexandria database, functional PBE-GGA.

Results
V   188.5 Å³/f.u.
Fermi-level density of states   0.00 states/eV/atom
Space-group type   Fm-3m

Structure (CIF):
```
data_Cs3H6Ir
_chemical_formula_sum 'Cs3 H6 Ir1'
_symmetry_space_group_name_H-M 'P 1'
_symmetry_Int_Tables_number 1
_symmetry_space_group_name_Hall 'P 1'
_cell_length_a 6.436
_cell_length_b 6.436
_cell_length_c 6.436
_cell_angle_alpha 60.00
_cell_angle_beta 60.00
_cell_angle_gamma 60.00
loop_
_atom_site_label
_atom_site_fract_x
_atom_site_fract_y
_atom_site_fract_z
Cs1 0.500 0.500 0.500
H1 0.814 0.186 0.186
H2 0.814 0.814 0.186
H3 0.186 0.814 0.186
H4 0.186 0.814 0.814
H5 0.186 0.186 0.814
H6 0.814 0.186 0.814
Cs2 0.750 0.750 0.750
Cs3 0.250 0.250 0.250
Ir1 0.000 0.000 0.000
```

=====

Relative energies, meV per atom: A 26; B 0.

=====

A:
A relaxed CsSbHIr crystal. Source: the Alexandria database, functional PBE-GGA.

Results
V   98.7 Å³/f.u.
Fermi-level density of states   0.11 states/eV/atom
Space-group type   P1

Structure (CIF):
```
data_CsSbHIr
_chemical_formula_sum 'Cs1 Sb1 H1 Ir1'
_symmetry_space_group_name_H-M 'P 1'
_symmetry_Int_Tables_number 1
_symmetry_space_group_name_Hall 'P 1'
_cell_length_a 3.291
_cell_length_b 4.801
_cell_length_c 7.005
_cell_angle_alpha 72.22
_cell_angle_beta 88.94
_cell_angle_gamma 70.24
loop_
_atom_site_label
_atom_site_fract_x
_atom_site_fract_y
_atom_site_fract_z
Sb1 0.612 0.416 0.541
H1 0.305 0.051 0.331
Cs1 0.032 0.631 0.000
Ir1 0.868 0.916 0.428
```

=====

B:
A relaxed CsSbHIr crystal. Source: the Alexandria database, functional PBE-GGA.

Results
V   100.5 Å³/f.u.
Fermi-level density of states   0.29 states/eV/atom
Space-group type   Amm2

Structure (CIF):
```
data_CsSbHIr
_chemical_formula_sum 'Cs2 Sb2 H2 Ir2'
_symmetry_space_group_name_H-M 'P 1'
_symmetry_Int_Tables_number 1
_symmetry_space_group_name_Hall 'P 1'
_cell_length_a 3.373
_cell_length_b 4.594
_cell_length_c 12.967
_cell_angle_alpha 90.00
_cell_angle_beta 90.00
_cell_angle_gamma 90.00
loop_
_atom_site_label
_atom_site_fract_x
_atom_site_fract_y
_atom_site_fract_z
Cs1 0.500 0.500 0.311
Sb1 0.000 0.500 0.022
Ir1 0.000 0.500 0.612
Ir2 0.000 0.000 0.112
H1 0.500 0.500 0.652
H2 0.500 0.000 0.152
Sb2 0.000 0.000 0.522
Cs2 0.500 0.000 0.811
```

=====

Relative energies, meV per atom: A 0; B 57.

=====

A:
A relaxed CsSbHIr crystal. Source: the Alexandria database, functional PBE-GGA.

Results
V   106.5 Å³/f.u.
Fermi-level density of states   0.38 states/eV/atom
Space-group type   Cm

Structure (CIF):
```
data_CsSbHIr
_chemical_formula_sum 'Cs2 Sb2 H2 Ir2'
_symmetry_space_group_name_H-M 'P 1'
_symmetry_Int_Tables_number 1
_symmetry_space_group_name_Hall 'P 1'
_cell_length_a 6.358
_cell_length_b 4.703
_cell_length_c 7.132
_cell_angle_alpha 90.00
_cell_angle_beta 92.59
_cell_angle_gamma 90.00
loop_
_atom_site_label
_atom_site_fract_x
_atom_site_fract_y
_atom_site_fract_z
Ir1 0.585 0.500 0.652
Sb1 0.645 0.500 0.300
Ir2 0.585 0.000 0.152
Cs1 0.141 0.000 0.453
Cs2 0.141 0.500 0.953
Sb2 0.645 0.000 0.800
H1 0.930 0.500 0.308
H2 0.930 0.000 0.808
```

=====

B:
A relaxed CsSbHIr crystal. Source: the Alexandria database, functional PBE-GGA.

Results
V   109.0 Å³/f.u.
Fermi-level density of states   0.24 states/eV/atom
Space-group type   Cm

Structure (CIF):
```
data_CsSbHIr
_chemical_formula_sum 'Cs1 Sb1 H1 Ir1'
_symmetry_space_group_name_H-M 'P 1'
_symmetry_Int_Tables_number 1
_symmetry_space_group_name_Hall 'P 1'
_cell_length_a 4.219
_cell_length_b 4.219
_cell_length_c 6.671
_cell_angle_alpha 86.82
_cell_angle_beta 86.83
_cell_angle_gamma 66.95
loop_
_atom_site_label
_atom_site_fract_x
_atom_site_fract_y
_atom_site_fract_z
Sb1 0.383 0.104 0.593
H1 0.729 0.450 0.912
Ir1 0.734 0.455 0.670
Cs1 0.068 0.789 0.126
```

=====

Relative energies, meV per atom: A 232; B 0.